Entry from Alexandria via LeMat-Bulk: an optimized crystal structure of CeSmGePd (PBE).

a = 7.2541 Å, b = 7.2541 Å, c = 7.2541 Å
α = 90.00°, β = 90.00°, γ = 90.00°
Closest atoms and distances in Å follow each position.
Positions (direct):
Ce 0.0000 0.0000 0.0000  4 Ge 3.14, 4 Pd 3.14
Ce 0.0000 0.5000 0.5000  4 Ge 3.14, 4 Pd 3.14
Ce 0.5000 0.0000 0.5000  4 Ge 3.14, 4 Pd 3.14
Ce 0.5000 0.5000 0.0000  4 Ge 3.14, 4 Pd 3.14
Sm 0.0000 0.0000 0.5000  4 Ge 3.14, 4 Pd 3.14
Sm 0.0000 0.5000 0.0000  4 Ge 3.14, 4 Pd 3.14
Sm 0.5000 0.0000 0.0000  4 Ge 3.14, 4 Pd 3.14
Sm 0.5000 0.5000 0.5000  4 Ge 3.14, 4 Pd 3.14
Ge 0.2500 0.2500 0.2500  4 Ce 3.14, 4 Sm 3.14
Ge 0.2500 0.7500 0.7500  4 Sm 3.14, 4 Ce 3.14
Ge 0.7500 0.2500 0.7500  4 Sm 3.14, 4 Ce 3.14
Ge 0.7500 0.7500 0.2500  4 Sm 3.14, 4 Ce 3.14
Pd 0.2500 0.2500 0.7500  4 Ce 3.14, 4 Sm 3.14
Pd 0.2500 0.7500 0.2500  4 Ce 3.14, 4 Sm 3.14
Pd 0.7500 0.2500 0.2500  4 Ce 3.14, 4 Sm 3.14
Pd 0.7500 0.7500 0.7500  4 Ce 3.14, 4 Sm 3.14

Properties
ΔH_f (0 K) = -15.11 kcal/mol of atoms
Symmetry = F-43m, No. 216
Fermi-level density of states = 2.184 states/eV per atom

***

Entry from Alexandria via LeMat-Bulk: an optimized crystal structure of TlVB3 (PBE).

a = 4.1746 Å, b = 4.1746 Å, c = 4.1746 Å
α = 90.00°, β = 90.00°, γ = 90.00°
Closest atoms and distances in Å follow each position.
Positions (direct):
Tl 0.0000 0.0000 0.0000  12 B 2.95
V 0.5000 0.5000 0.5000  6 B 2.09
B 0.0000 0.5000 0.5000  2 V 2.09
B 0.5000 0.0000 0.5000  2 V 2.09
B 0.5000 0.5000 0.0000  2 V 2.09

Properties
ΔH_f (0 K) = 31.29 kcal/mol of atoms
Relative energy among the computed polymorphs = 0 meV/atom
Symmetry = Pm-3m, No. 221
Fermi-level density of states = 1.040 states/eV per atom

***

Entry from Alexandria via LeMat-Bulk: an optimized crystal structure of Rb2Eu (PBE).

a = 8.4364 Å, b = 8.4364 Å, c = 8.4364 Å
α = 60.00°, β = 60.00°, γ = 60.00°
Closest atoms and distances in Å follow each position.
Positions (direct):
Rb 0.0000 0.0000 0.0000  6 Rb 4.22
Rb 0.0000 0.0000 0.5000  6 Rb 4.22
Rb 0.0000 0.5000 0.0000  6 Rb 4.22
Rb 0.5000 0.0000 0.0000  6 Rb 4.22
Eu 0.3750 0.3750 0.3750  12 Rb 4.95, 4 Eu 5.17
Eu 0.6250 0.6250 0.6250  12 Rb 4.95, 4 Eu 5.17

Properties
ΔH_f (0 K) = 6.84 kcal/mol of atoms
Relative energy among the computed polymorphs = 97 meV/atom
Symmetry = Fd-3m, No. 227
Fermi-level density of states = 1.039 states/eV per atom

***

Entry from Alexandria via LeMat-Bulk: an optimized crystal structure of AlZnCl2 (PBE).

a = 7.5761 Å, b = 7.5858 Å, c = 3.1017 Å
α = 90.00°, β = 90.00°, γ = 90.00°
Closest atoms and distances in Å follow each position.
Positions (direct):
Al 0.0000 0.0000 0.0000  4 Cl 2.68
Al 0.5000 0.5000 0.0000  4 Cl 2.68
Zn 0.0000 0.5000 0.0000  4 Cl 2.68
Zn 0.5000 0.0000 0.0000  4 Cl 2.68
Cl 0.2500 0.2500 0.0000  2 Al 2.68, 2 Zn 2.68
Cl 0.2500 0.7500 0.0000  2 Al 2.68, 2 Zn 2.68
Cl 0.7500 0.2500 0.0000  2 Al 2.68, 2 Zn 2.68
Cl 0.7500 0.7500 0.0000  2 Al 2.68, 2 Zn 2.68

Properties
Energy relative to the elements, uncorrected = -28 kJ per mole of atoms
Relative energy among the computed polymorphs = 400 meV/atom
Symmetry = Cmmm, No. 65
Fermi-level density of states = 0.465 states/eV per atom

***

Entry from Alexandria via LeMat-Bulk: an optimized crystal structure of Mg2ZnTe (PBE).

a = 3.7708 Å, b = 3.7721 Å, c = 6.2632 Å
α = 90.00°, β = 90.70°, γ = 90.00°
Closest atoms and distances in Å follow each position.
Positions (direct):
Mg 0.0044 0.0000 0.2628  2 Mg 2.97-3.29, 4 Zn 3.03-3.07, 4 Te 3.13-3.14
Mg 0.9956 0.0000 0.7372  2 Mg 2.97-3.29, 4 Zn 3.03-3.07, 4 Te 3.13-3.14
Zn 0.5000 0.5000 0.5000  8 Mg 3.03-3.07, 2 Te 3.13
Te 0.5000 0.5000 0.0000  2 Zn 3.13, 8 Mg 3.13-3.14

Properties
Energy relative to the elements, uncorrected = -20 kJ per mole of atoms
Relative energy among the computed polymorphs = 41 meV/atom
Symmetry = P2/m, No. 10
Fermi-level density of states = 0.195 states/eV per atom

***

Entry from Alexandria via LeMat-Bulk: an optimized crystal structure of Tb3Dy6Tm2Zr (PBE).

a = 6.0651 Å, b = 6.0651 Å, c = 11.5999 Å
α = 94.96°, β = 94.96°, γ = 119.90°
Closest atoms and distances in Å follow each position.
Positions (direct):
Tb 0.0000 0.0000 0.0000  6 Tb 3.50, 6 Dy 3.55-3.59
Tb 0.3335 0.6665 0.0000  6 Tb 3.50-3.51, 6 Dy 3.55-3.58
Tb 0.6665 0.3335 0.0000  6 Tb 3.50-3.51, 6 Dy 3.55-3.58
Dy 0.0915 0.4188 0.2565  1 Zr 3.42, 6 Dy 3.44-3.54, 2 Tm 3.45, 3 Tb 3.55-3.58
Dy 0.2542 0.2542 0.7429  1 Zr 3.41, 6 Dy 3.44-3.54, 2 Tm 3.45, 3 Tb 3.56-3.59
Dy 0.4188 0.0915 0.2565  1 Zr 3.42, 6 Dy 3.44-3.54, 2 Tm 3.45, 3 Tb 3.55-3.58
Dy 0.5812 0.9085 0.7435  1 Zr 3.42, 6 Dy 3.44-3.54, 2 Tm 3.45, 3 Tb 3.55-3.58
Dy 0.7458 0.7458 0.2571  1 Zr 3.41, 6 Dy 3.44-3.54, 2 Tm 3.45, 3 Tb 3.56-3.59
Dy 0.9085 0.5812 0.7435  1 Zr 3.42, 6 Dy 3.44-3.54, 2 Tm 3.45, 3 Tb 3.55-3.58
Tm 0.1670 0.8330 0.5000  6 Dy 3.45, 3 Zr 3.50-3.51, 3 Tm 3.50-3.51
Tm 0.8330 0.1670 0.5000  6 Dy 3.45, 3 Zr 3.50-3.51, 3 Tm 3.50-3.51
Zr 0.5000 0.5000 0.5000  6 Dy 3.41-3.42, 6 Tm 3.50-3.51

Properties
ΔH_f (0 K) = 0.94 kcal/mol of atoms
Symmetry = C2/m, No. 12
Fermi-level density of states = 1.220 states/eV per atom

***

Entry from Alexandria via LeMat-Bulk: an optimized crystal structure of Li4ErMg15 (PBE).

a = 4.4942 Å, b = 4.4942 Å, c = 22.3553 Å
α = 90.00°, β = 90.00°, γ = 90.00°
Closest atoms and distances in Å follow each position.
Positions (direct):
Li 0.0000 0.0000 0.0962  12 Mg 3.11-3.18
Li 0.0000 0.0000 0.2964  12 Mg 3.12-3.18
Li 0.0000 0.0000 0.7036  12 Mg 3.12-3.18
Li 0.0000 0.0000 0.9038  12 Mg 3.11-3.18
Er 0.0000 0.0000 0.5000  12 Mg 3.18-3.28
Mg 0.0000 0.5000 0.0000  4 Li 3.11, 8 Mg 3.14-3.18
Mg 0.0000 0.5000 0.1955  8 Mg 3.12-3.18, 4 Li 3.16-3.18
Mg 0.0000 0.5000 0.3929  2 Li 3.12, 8 Mg 3.18-3.28, 2 Er 3.28
Mg 0.0000 0.5000 0.6071  2 Li 3.12, 8 Mg 3.18-3.28, 2 Er 3.28
Mg 0.0000 0.5000 0.8045  8 Mg 3.12-3.18, 4 Li 3.16-3.18
Mg 0.5000 0.0000 0.0000  4 Li 3.11, 8 Mg 3.14-3.18
Mg 0.5000 0.0000 0.1955  8 Mg 3.12-3.18, 4 Li 3.16-3.18
Mg 0.5000 0.0000 0.3929  2 Li 3.12, 8 Mg 3.18-3.28, 2 Er 3.28
Mg 0.5000 0.0000 0.6071  2 Li 3.12, 8 Mg 3.18-3.28, 2 Er 3.28
Mg 0.5000 0.0000 0.8045  8 Mg 3.12-3.18, 4 Li 3.16-3.18
Mg 0.5000 0.5000 0.0980  8 Mg 3.13-3.14, 4 Li 3.18
Mg 0.5000 0.5000 0.2920  8 Mg 3.12-3.18, 4 Li 3.18
Mg 0.5000 0.5000 0.5000  4 Er 3.18, 8 Mg 3.28
Mg 0.5000 0.5000 0.7080  8 Mg 3.12-3.18, 4 Li 3.18
Mg 0.5000 0.5000 0.9020  8 Mg 3.13-3.14, 4 Li 3.18

Properties
ΔH_f (0 K) = -0.80 kcal/mol of atoms
Symmetry = P4/mmm, No. 123
Fermi-level density of states = 0.185 states/eV per atom

***

Entry from Alexandria via LeMat-Bulk: an optimized crystal structure of Cs2In2Ni (PBE).

a = 7.2546 Å, b = 7.2546 Å, c = 6.8697 Å
α = 90.00°, β = 90.00°, γ = 90.00°
Closest atoms and distances in Å follow each position.
Positions (direct):
Cs 0.1751 0.3249 0.0000  5 Cs 3.59-3.79, 2 In 3.66
Cs 0.3249 0.8249 0.0000  5 Cs 3.59-3.79, 2 In 3.66
Cs 0.6751 0.1751 0.0000  5 Cs 3.59-3.79, 2 In 3.66
Cs 0.8249 0.6751 0.0000  5 Cs 3.59-3.79, 2 In 3.66
In 0.2021 0.7021 0.5000  2 Ni 2.61
In 0.2979 0.2021 0.5000  2 Ni 2.61
In 0.7021 0.7979 0.5000  2 Ni 2.61
In 0.7979 0.2979 0.5000  2 Ni 2.61
Ni 0.0000 0.0000 0.5000  4 In 2.61
Ni 0.5000 0.5000 0.5000  4 In 2.61

Properties
ΔH_f (0 K) = 5.27 kcal/mol of atoms
Symmetry = P4/mbm, No. 127
Fermi-level density of states = 0.729 states/eV per atom

***

Asked for total magnetization across the records above, the calculation gives 0.299, 0.000, 2.521, 0.000, 0.000, 0.000, 0.000, 0.000 μB/atom in order.